Entry one
BeAl5 after structural relaxation. Source: the Alexandria database, functional PBE-GGA.

Structure (extended XYZ):
```
6
Lattice="2.875 -0.524 -3.888 4.551 -0.266 -1.696 2.259 -7.257 -0.873" Properties=species:S:1:pos:R:3 pbc="T T T"
Be 5.409 -1.355 -3.976
Al 2.469 -6.981 -1.066
Al 6.537 -4.983 -4.411
Al 3.180 -2.196 -2.172
Al 4.481 -6.078 -2.711
Al 1.167 -3.100 -0.527
```

=====

Entry two
BeAl5 after structural relaxation. Source: the Alexandria database, functional PBE-GGA.

Structure (extended XYZ):
```
6
Lattice="2.781 0.000 0.000 0.000 2.781 0.000 0.000 0.000 11.705" Properties=species:S:1:pos:R:3 pbc="T T T"
Al 0.000 0.000 10.090
Al 0.000 0.000 1.615
Al 1.390 1.390 7.973
Al 1.390 1.390 3.732
Al 0.000 0.000 5.853
Be 1.390 1.390 0.000
```

=====

Entry three
BeAl5 after structural relaxation. Source: the Alexandria database, functional PBE-GGA.

Structure (extended XYZ):
```
6
Lattice="1.868 4.957 -5.544 -4.246 -3.398 5.405 1.609 2.719 2.973" Properties=species:S:1:pos:R:3 pbc="T T T"
Be -2.742 -1.083 5.639
Al -4.216 -3.358 5.353
Al -2.200 -0.603 1.742
Al -0.212 2.114 -1.819
Al -0.682 1.733 1.950
Al 1.256 4.381 -1.521
```

=====

Least stable structure: entry three

=====

Entry one
BeAl5 after structural relaxation. Source: the Alexandria database, functional PBE-GGA.

Structure (extended XYZ):
```
6
Lattice="-2.647 -1.761 -3.650 1.065 -2.812 3.793 -3.788 1.376 2.083" Properties=species:S:1:pos:R:3 pbc="T T T"
Be -1.894 0.688 1.041
Al -1.789 -1.190 -2.467
Al -0.513 -1.482 0.046
Al 0.720 -1.900 2.564
Al -3.303 -1.423 -0.128
Al -2.066 -1.774 2.354
```

=====

Entry two
BeAl5 after structural relaxation. Source: the Alexandria database, functional PBE-GGA.

Structure (extended XYZ):
```
6
Lattice="-3.848 4.283 2.079 1.598 -3.066 -5.052 -2.689 -2.839 0.873" Properties=species:S:1:pos:R:3 pbc="T T T"
Be -1.125 0.609 -1.486
Al -1.585 -2.004 -2.208
Al 0.725 -1.888 -3.909
Al -1.344 -1.420 0.436
Al -2.975 3.105 0.936
Al -3.353 0.382 0.107
```

=====

Least stable structure: entry one

=====

Entry one
Be3Al5 after structural relaxation. Source: the Alexandria database, functional PBE-GGA.

Structure (extended XYZ):
```
16
Lattice="-0.940 -0.948 7.244 5.257 0.478 -5.137 -1.164 6.623 0.180" Properties=species:S:1:pos:R:3 pbc="T T T"
Be 2.089 6.274 1.729
Be -0.099 6.503 0.733
Be -0.097 3.058 1.804
Be 3.252 3.096 0.478
Be 1.990 5.883 -2.242
Be 1.165 0.271 4.523
Al 3.140 3.773 -1.908
Al 0.014 2.381 4.190
Al -1.367 4.987 5.474
Al 4.522 1.167 -3.193
Al 1.959 1.586 2.201
Al 1.195 4.567 0.081
Al -0.040 5.292 2.822
Al 3.194 0.861 -0.541
Al 0.624 2.011 -0.499
Al 2.530 4.143 2.781
```

=====

Entry two
Be3Al5 after structural relaxation. Source: the Alexandria database, functional PBE-GGA.

Structure (extended XYZ):
```
8
Lattice="3.702 -3.944 0.000 3.702 3.944 0.000 0.000 0.000 3.735" Properties=species:S:1:pos:R:3 pbc="T T T"
Be 3.702 0.000 0.000
Be 3.702 -1.980 1.867
Be 3.702 1.980 1.867
Al 0.000 0.000 0.000
Al 1.851 1.972 0.000
Al 1.851 -1.972 0.000
Al 2.043 0.000 1.867
Al 5.362 0.000 1.867
```

=====

Least stable structure: entry two

=====

Entry one
Be3Al2 after structural relaxation. Source: the Alexandria database, functional PBE-GGA.

Structure (extended XYZ):
```
10
Lattice="-4.105 5.914 3.190 -4.173 5.815 -1.189 -3.561 -1.256 2.220" Properties=species:S:1:pos:R:3 pbc="T T T"
Be -4.500 3.856 1.952
Be -6.254 7.022 2.914
Be -8.675 9.818 2.950
Be -7.999 6.296 4.026
Be -4.434 5.791 2.994
Be -3.289 2.495 0.860
Al -6.676 4.307 3.015
Al -5.920 5.883 0.755
Al -10.066 8.109 4.051
Al -8.450 7.318 1.831
```

=====

Entry two
Be3Al2 after structural relaxation. Source: the Alexandria database, functional PBE-GGA.

Structure (extended XYZ):
```
5
Lattice="-2.190 2.342 -2.369 -1.402 -1.094 3.569 2.006 3.873 1.974" Properties=species:S:1:pos:R:3 pbc="T T T"
Be 0.000 0.000 0.000
Be -0.631 3.699 0.886
Be -0.954 1.423 2.288
Al -1.606 1.817 -0.074
Al 0.020 3.304 3.248
```

=====

Least stable structure: entry two

=====

Entry one
Be6Al after structural relaxation. Source: the Alexandria database, functional PBE-GGA.

Structure (extended XYZ):
```
7
Lattice="4.915 0.000 0.000 -1.638 4.634 0.000 -1.638 -2.317 4.013" Properties=species:S:1:pos:R:3 pbc="T T T"
Be -0.819 2.317 2.006
Be 0.819 2.896 1.003
Be -0.819 0.579 3.010
Be 2.457 0.000 2.006
Be 0.819 -0.579 3.010
Be 2.457 1.738 1.003
Al 0.000 0.000 0.000
```

=====

Entry two
Be6Al after structural relaxation. Source: the Alexandria database, functional PBE-GGA.

Structure (extended XYZ):
```
28
Lattice="4.228 0.000 0.000 0.000 6.878 0.000 0.000 0.000 8.927" Properties=species:S:1:pos:R:3 pbc="T T T"
Be 3.171 4.082 0.123
Be 1.057 2.796 8.804
Be 3.171 0.643 4.341
Be 1.057 6.235 4.586
Be 0.007 3.044 1.719
Be 2.121 3.834 7.208
Be 2.107 6.483 2.744
Be 4.221 0.395 6.183
Be 4.221 3.834 7.208
Be 2.107 3.044 1.719
Be 2.121 0.395 6.183
Be 0.007 6.483 2.744
Be 1.057 1.010 1.282
Be 3.171 5.868 7.645
Be 1.057 4.449 3.181
Be 3.171 2.429 5.746
Be 1.057 5.553 6.626
Be 3.171 1.325 2.302
Be 1.057 2.114 6.765
Be 3.171 4.764 2.162
Be 1.057 3.774 5.299
Be 3.171 3.104 3.628
Be 1.057 0.335 8.092
Be 3.171 6.543 0.835
Al 3.171 1.695 8.209
Al 1.057 5.183 0.718
Al 3.171 5.134 5.182
Al 1.057 1.744 3.745
```

=====

Least stable structure: entry one

=====

Entry one
Be3AlBi after structural relaxation. Source: the Alexandria database, functional PBE-GGA.

Structure (extended XYZ):
```
5
Lattice="4.476 0.000 0.000 0.000 4.476 0.000 0.000 0.000 4.476" Properties=species:S:1:pos:R:3 pbc="T T T"
Be 0.000 2.238 0.000
Be 0.000 0.000 2.238
Be 2.238 0.000 0.000
Bi 2.238 2.238 2.238
Al 0.000 0.000 0.000
```

=====

Entry two
Be3AlBi after structural relaxation. Source: the Alexandria database, functional PBE-GGA.

Structure (extended XYZ):
```
5
Lattice="4.826 0.000 0.000 0.000 4.826 0.000 0.000 0.000 4.826" Properties=species:S:1:pos:R:3 pbc="T T T"
Be 0.000 2.413 0.000
Be 0.000 0.000 2.413
Be 2.413 0.000 0.000
Bi 0.000 0.000 0.000
Al 2.413 2.413 2.413
```

=====

Least stable structure: entry two

=====

Entry one
BeAl2Bi after structural relaxation. Source: the Alexandria database, functional PBE-GGA.

Structure (extended XYZ):
```
4
Lattice="0.000 3.435 3.435 3.435 0.000 3.435 3.435 3.435 0.000" Properties=species:S:1:pos:R:3 pbc="T T T"
Be 0.000 0.000 0.000
Bi 3.435 3.435 3.435
Al 1.717 1.717 1.717
Al 5.152 5.152 5.152
```

=====

Entry two
BeAl2Bi after structural relaxation. Source: the Alexandria database, functional PBE-GGA.

Structure (extended XYZ):
```
8
Lattice="4.856 0.000 0.000 0.000 4.856 0.000 2.428 2.428 7.649" Properties=species:S:1:pos:R:3 pbc="T T T"
Be 2.428 2.428 0.000
Be 2.428 4.856 3.824
Bi 0.000 0.000 0.000
Bi 4.856 2.428 3.824
Al 3.062 1.214 1.912
Al 1.794 3.642 1.912
Al 3.642 4.222 5.737
Al 6.069 5.489 5.737
```

=====

Least stable structure: entry one

=====

Entry one
BeAl2CuBi after structural relaxation. Source: the Alexandria database, functional PBE-GGA.

Structure (extended XYZ):
```
5
Lattice="5.663 0.000 0.000 0.000 4.480 0.000 0.000 0.000 5.663" Properties=species:S:1:pos:R:3 pbc="T T T"
Be 0.000 2.240 0.000
Bi 0.000 0.000 0.000
Cu 2.831 2.240 2.831
Al 0.000 0.000 2.831
Al 2.831 0.000 0.000
```

=====

Entry two
BeAl2CuBi after structural relaxation. Source: the Alexandria database, functional PBE-GGA.

Structure (extended XYZ):
```
5
Lattice="4.281 0.000 0.000 0.000 5.512 0.000 0.000 0.000 4.281" Properties=species:S:1:pos:R:3 pbc="T T T"
Be 0.000 0.000 0.000
Bi 0.000 2.756 0.000
Cu 2.141 2.756 2.141
Al 0.000 0.000 2.141
Al 2.141 0.000 0.000
```

=====

Least stable structure: entry one

=====

Entry one
BeAl2BiSe after structural relaxation. Source: the Alexandria database, functional PBE-GGA.

Structure (extended XYZ):
```
5
Lattice="-2.676 1.196 3.301 3.518 -2.265 3.672 2.132 3.852 0.333" Properties=species:S:1:pos:R:3 pbc="T T T"
Be 0.000 0.000 0.000
Bi 1.759 -1.132 1.836
Se 1.487 1.391 3.653
Al 1.066 1.926 0.166
Al -1.338 0.598 1.651
```

=====

Entry two
BeAl2BiSe after structural relaxation. Source: the Alexandria database, functional PBE-GGA.

Structure (extended XYZ):
```
5
Lattice="-0.837 2.752 -4.034 -5.503 -1.443 0.157 -0.947 3.924 2.873" Properties=species:S:1:pos:R:3 pbc="T T T"
Be -3.643 2.616 -0.502
Bi -2.752 -0.722 0.078
Se 0.000 0.000 0.000
Al -0.474 1.962 1.437
Al -0.418 1.376 -2.017
```

=====

Least stable structure: entry two

=====

Entry one
Be2AlBr after structural relaxation. Source: the Alexandria database, functional PBE-GGA.

Structure (extended XYZ):
```
4
Lattice="-4.154 -1.274 2.225 0.950 -0.820 4.717 1.074 3.786 -2.889" Properties=species:S:1:pos:R:3 pbc="T T T"
Be 0.000 0.000 0.000
Be -1.602 -1.047 3.471
Al -2.341 0.733 1.403
Br 0.211 0.960 2.650
```

=====

Entry two
Be2AlBr after structural relaxation. Source: the Alexandria database, functional PBE-GGA.

Structure (extended XYZ):
```
4
Lattice="3.011 0.000 0.000 0.000 5.475 0.000 0.000 0.000 4.064" Properties=species:S:1:pos:R:3 pbc="T T T"
Be 0.000 0.000 0.000
Be 1.505 2.738 0.000
Al 0.000 2.738 2.032
Br 1.505 0.000 2.032
```

=====

Entry three
Be2AlBr after structural relaxation. Source: the Alexandria database, functional PBE-GGA.

Structure (extended XYZ):
```
8
Lattice="-4.439 -2.396 -2.692 3.533 -3.735 -2.502 -1.058 -6.140 1.138" Properties=species:S:1:pos:R:3 pbc="T T T"
Be -2.621 -3.512 -1.725
Be 1.412 -4.156 -1.602
Be -1.152 -6.885 -1.082
Be -1.568 -9.989 -3.705
Al -0.453 -3.065 -2.597
Al 1.011 -6.470 -1.981
Br 0.000 0.000 0.000
Br -2.975 -5.801 -2.076
```

=====

Least stable structure: entry one

=====

Entry one
Be2AlBr after structural relaxation. Source: the Alexandria database, functional PBE-GGA.

Structure (extended XYZ):
```
4
Lattice="-0.975 0.164 2.906 -2.722 -1.135 -0.849 2.254 -6.233 1.108" Properties=species:S:1:pos:R:3 pbc="T T T"
Be 2.166 -5.988 1.064
Be 1.216 -3.362 0.597
Al -0.158 -5.161 1.859
Br -1.285 -2.044 1.305
```

=====

Entry two
Be2AlBr after structural relaxation. Source: the Alexandria database, functional PBE-GGA.

Structure (extended XYZ):
```
4
Lattice="4.569 0.000 0.000 2.285 3.957 0.000 2.285 1.319 3.731" Properties=species:S:1:pos:R:3 pbc="T T T"
Be 0.000 0.000 0.000
Be 6.854 3.957 2.798
Al 4.569 2.638 1.865
Br 2.285 1.319 0.933
```

=====

Least stable structure: entry two